## SiP2WO (PBE with a Hubbard U)

Data for an optimized crystal structure of SiP2WO.

Output
As for the magnetization: 3.05 μB/f.u. For the energy, the calculation gives -5.655 eV/atom. The calculation puts the excess energy over the best structure of this formula in the dataset at 0.0 meV per atom. Its density of states at the Fermi level is 0.454 states/eV per atom. Its volume is 75.3 Å³/f.u.

Cell: 4.806 4.806 3.262 Å, 90.00 90.00 90.00°
Fractional positions:
Si 0.000 0.000 0.000
P 0.000 0.500 0.000
P 0.500 0.000 0.000
W 0.500 0.500 0.500
O 0.000 0.000 0.500